No. 1
VASP calculation (PBE) on RbPrMn2Cl8 after structural relaxation.

Cell lengths 6.5430, 6.5430, 31.3297 Å; angles 90.00, 90.00, 120.00 degrees
Space group R32 (No. 155, hexagonal axes)
One atom of each set of equivalent atoms:
Rb1 0.0000 0.0000 0.0000
Pr1 0.0000 0.0000 0.5000
Mn1 0.0000 0.0000 0.2498
Cl1 0.0000 0.0000 0.3222
Cl2 0.0012 0.3426 0.2235

Output
Fermi-level density of states: 0.0 states/eV per cell
Uncorrected formation energy: -1.593 eV/atom
Uncorrected energy: -4.8311 eV/atom


No. 2
VASP calculation (PBE) on Rb2NaHgPt after structural relaxation.

Cell lengths 6.556, 6.556, 5.284 Å; angles 90.00, 90.00, 90.00 degrees
Space group P4/mmm (No. 123)
One atom of each set of equivalent atoms:
Rb1 0.000 0.500 0.000
Na1 0.000 0.000 0.500
Hg1 0.500 0.500 0.500
Pt1 0.500 0.500 0.000

Output
Fermi-level density of states: 1.8 states/eV per cell
Uncorrected energy: -1.9373 eV/atom
Energy above the most stable polymorph in this dataset: 0.0000 eV per atom


No. 3
VASP calculation (PBE) on TiV5Fe2 after structural relaxation.

Cell lengths 4.213, 7.010, 7.385 Å; angles 90.00, 90.00, 90.00 degrees
Space group Immm (No. 71)
One atom of each set of equivalent atoms:
Ti1 0.000 0.000 0.000
V1 0.000 0.180 0.337
V2 0.000 0.500 0.000
Fe1 0.000 0.500 0.320

Output
Fermi-level density of states: 23.4 states/eV per cell
Uncorrected energy: -8.6716 eV/atom


No. 4
VASP calculation (PBE) on Ga6ReAg after structural relaxation.

Cell lengths 6.474, 9.347, 5.845 Å; angles 90.00, 118.78, 90.00 degrees
Space group C2/m (No. 12)
One atom of each set of equivalent atoms:
Ga1 0.190 0.220 0.261
Ga2 0.225 0.000 0.750
Re1 0.000 0.000 0.000
Ag1 0.000 0.500 0.500

Output
Fermi-level density of states: 5.2 states/eV per cell
Uncorrected energy: -3.9740 eV/atom


No. 5
VASP calculation (PBE) on Li6MgPd12 after structural relaxation.

Cell lengths 12.0114, 12.0114, 6.7340 Å; angles 90.00, 90.00, 120.00 degrees
Space group R-3 (No. 148, hexagonal axes)
One atom of each set of equivalent atoms:
Li1 0.0332 0.2731 0.3277
Mg1 0.0000 0.0000 0.0000
Pd1 0.0187 0.1437 0.6655
Pd2 0.0681 0.5652 0.6680

Output
Fermi-level density of states: 47.6 states/eV per cell
Uncorrected energy: -4.3346 eV/atom


No. 6
VASP calculation (PBE) on Mg6GaHg3 after structural relaxation.

Cell lengths 8.426, 4.945, 10.739 Å; angles 90.00, 109.45, 90.00 degrees
Space group P2_1/m (No. 11)
One atom of each set of equivalent atoms:
Mg1 0.041 0.250 0.421
Mg2 0.160 0.750 0.175
Mg3 0.253 0.250 0.004
Mg4 0.349 0.750 0.800
Mg5 0.352 0.250 0.319
Mg6 0.418 0.250 0.624
Ga1 0.454 0.750 0.093
Hg1 0.029 0.750 0.875
Hg2 0.128 0.250 0.711
Hg3 0.288 0.750 0.473

Output
Fermi-level density of states: 5.6 states/eV per cell
Uncorrected energy: -1.5223 eV/atom